(1)
An optimized crystal structure of Dy3GaFeS7. Source: Alexandria via LeMat-Bulk, functional PBE.

**Calculated volume**: 20.093 A^3/atom
**Raw formation energy**: -1467 meV per atom

Unit cell a=9.4681 b=9.4681 c=6.2114 alpha=90.00 beta=90.00 gamma=120.00
Fractional positions:
Fe: 0.0000 0.0000 0.0211
Fe: 0.0000 0.0000 0.5211
S: 0.5610 0.0833 0.4427
S: 0.4777 0.5610 0.9427
S: 0.9167 0.4777 0.4427
S: 0.5223 0.4390 0.4427
S: 0.2167 0.0964 0.7749
S: 0.3333 0.6667 0.4620
S: 0.7833 0.9036 0.2749
S: 0.0833 0.5223 0.9427
S: 0.0964 0.8798 0.2749
S: 0.1202 0.2167 0.2749
S: 0.4390 0.9167 0.9427
S: 0.8798 0.7833 0.7749
S: 0.6667 0.3333 0.9620
S: 0.9036 0.1202 0.7749
Ga: 0.6667 0.3333 0.5984
Ga: 0.3333 0.6667 0.0984
Dy: 0.1613 0.7872 0.6702
Dy: 0.2128 0.3742 0.6702
Dy: 0.3742 0.1613 0.1702
Dy: 0.6258 0.8387 0.6702
Dy: 0.8387 0.2128 0.1702
Dy: 0.7872 0.6258 0.1702

(2)
An optimized crystal structure of GdDy3Fe. Source: Alexandria via LeMat-Bulk, functional PBE.

**Calculated volume**: 29.206 A^3/atom
**Energy of formation from the pure elements**: 99.9 meV/atom

Unit cell a=5.2660 b=5.2660 c=5.2660 alpha=90.00 beta=90.00 gamma=90.00
Fractional positions:
Fe: 0.0000 0.0000 0.0000
Gd: 0.5000 0.5000 0.5000
Dy: 0.5000 0.0000 0.0000
Dy: 0.0000 0.0000 0.5000
Dy: 0.0000 0.5000 0.0000

(3)
An optimized crystal structure of GdDyFe4. Source: Alexandria via LeMat-Bulk, functional PBE.

**Calculated volume**: 16.065 A^3/atom
**Energy of formation from the pure elements**: -31.3 meV/atom

Unit cell a=5.1466 b=5.1466 c=5.1466 alpha=60.00 beta=60.00 gamma=60.00
Fractional positions:
Fe: 0.6252 0.6252 0.6252
Fe: 0.6252 0.6252 0.1245
Fe: 0.6252 0.1245 0.6252
Fe: 0.1245 0.6252 0.6252
Gd: 0.0000 0.0000 0.0000
Dy: 0.2500 0.2500 0.2500

(4)
An optimized crystal structure of GdDyFe. Source: Alexandria via LeMat-Bulk, functional PBE.

**Calculated volume**: 24.334 A^3/atom
**Energy of formation from the pure elements**: 55.9 meV/atom

Unit cell a=3.3757 b=3.3757 c=6.8363 alpha=104.29 beta=104.29 gamma=90.00
Fractional positions:
Gd: 0.0403 0.0403 0.0806
Dy: 0.2924 0.2924 0.5847
Fe: 0.6673 0.6673 0.3347